1.
A relaxed K3Y crystal, computed with PBE.

a = 7.009 Å, b = 7.710 Å, c = 8.279 Å
α = 90.00°, β = 90.00°, γ = 90.00°
Each line ends with the local moment (μB).
Fractional positions:
K 0.000 0.645 0.500  0.01
K 0.500 0.844 0.751  0.01
K 0.500 0.844 0.249  0.01
K 0.000 0.156 0.251  0.01
K 0.500 0.355 0.000  0.01
K 0.000 0.156 0.749  0.01
Y 0.000 0.634 0.000  0.34
Y 0.500 0.366 0.500  0.34

Summary:
space-group type: Pmmn, No. 59
energy relative to the elements: 0.557 eV per atom
magnetic moment: 1.0 μB/f.u.



2.
A relaxed PuPaMnGa crystal, computed with PBE.

a = 4.735 Å, b = 4.735 Å, c = 4.735 Å
α = 60.00°, β = 60.00°, γ = 60.00°
Each line ends with the local moment (μB).
Fractional positions:
Mn 0.500 0.500 0.500  -2.20
Ga 0.250 0.250 0.250  0.06
Pa 0.750 0.750 0.750  1.36
Pu 0.000 0.000 0.000  5.55

Summary:
space-group type: F-43m, No. 216
energy relative to the elements: -0.113 eV per atom
magnetic moment: 5.0 μB/f.u.



3.
A relaxed La2Nd3DyAs6 crystal, computed with PBE.

a = 4.286 Å, b = 8.569 Å, c = 9.577 Å
α = 102.98°, β = 102.93°, γ = 90.00°
Fractional positions:
As 0.664 0.079 0.328
As 0.334 0.414 0.668
As 0.336 0.921 0.672
As 0.002 0.757 0.003
As 0.666 0.586 0.332
As 0.998 0.243 0.997
Dy 0.500 0.000 0.000
Nd 0.833 0.166 0.666
Nd 0.500 0.500 0.000
Nd 0.167 0.834 0.334
La 0.165 0.331 0.330
La 0.835 0.669 0.670

Summary:
space-group type: C2/m, No. 12
energy relative to the elements: -1.526 eV per atom
magnetic moment: 0.0 μB/f.u.



4.
A relaxed Ta4GeN crystal, computed with PBE.

a = 6.454 Å, b = 6.454 Å, c = 6.454 Å
α = 109.08°, β = 109.08°, γ = 110.25°
Fractional positions:
Ta 0.783 0.103 0.319
Ta 0.853 0.033 0.819
Ta 0.783 0.464 0.681
Ta 0.214 0.033 0.181
Ta 0.215 0.500 0.285
Ta 0.250 0.465 0.785
Ta 0.681 0.465 0.215
Ta 0.215 0.931 0.715
Ge 0.482 0.982 0.500
Ge 0.732 0.732 0.000
N 0.021 0.521 0.500
N 0.271 0.271 0.000

Summary:
space-group type: I4_1md, No. 109
E_form (uncorrected): 0.046 eV per atom
magnetic moment: 0.0 μB/f.u.



5.
A relaxed La6Tb2Nd crystal, computed with PBE.

a = 3.639 Å, b = 10.110 Å, c = 10.110 Å
α = 120.00°, β = 90.00°, γ = 90.00°
Fractional positions:
Tb 0.000 0.333 0.667
Tb 0.000 0.667 0.333
La 0.500 0.000 0.357
La 0.500 0.643 0.643
La 0.500 0.357 0.000
La 0.000 0.689 0.000
La 0.000 0.000 0.689
La 0.000 0.311 0.311
Nd 0.500 0.000 0.000

Summary:
space-group type: P-62m, No. 189
energy relative to the elements: 0.027 eV per atom
magnetic moment: 0.0 μB/f.u.



6.
A relaxed Cs3YTa crystal, computed with PBE.

a = 7.065 Å, b = 7.065 Å, c = 7.065 Å
α = 90.00°, β = 90.00°, γ = 90.00°
Each line ends with the local moment (μB).
Fractional positions:
Cs 0.000 0.000 0.500  0.05
Cs 0.500 0.000 0.000  0.03
Cs 0.000 0.500 0.000  0.04
Ta 0.500 0.500 0.500  -2.37
Y 0.000 0.000 0.000  0.97

Summary:
space-group type: Pm-3m, No. 221
energy relative to the elements: 2.055 eV per atom
magnetic moment: 1.3 μB/f.u.



7.
A relaxed Tl2CdHgAu crystal, computed with PBE.

a = 5.596 Å, b = 5.596 Å, c = 5.363 Å
α = 90.00°, β = 90.00°, γ = 90.00°
Fractional positions:
Tl 0.500 0.000 0.000
Tl 0.000 0.500 0.000
Au 0.000 0.000 0.000
Hg 0.500 0.500 0.500
Cd 0.000 0.000 0.500

Summary:
space-group type: P4/mmm, No. 123
energy relative to the elements: 0.067 eV per atom
magnetic moment: 0.0 μB/f.u.



8.
A relaxed PuAgPb crystal, computed with PBE.

a = 4.929 Å, b = 4.929 Å, c = 4.929 Å
α = 60.00°, β = 60.00°, γ = 60.00°
Each line ends with the local moment (μB).
Fractional positions:
Pu 0.000 0.000 0.000  5.28
Ag 0.250 0.250 0.250  -0.02
Pb 0.500 0.500 0.500  -0.08

Summary:
space-group type: F-43m, No. 216
energy relative to the elements: 0.055 eV per atom
magnetic moment: 5.2 μB/f.u.



9.
A relaxed B5C3 crystal, computed with PBE.

a = 2.758 Å, b = 2.758 Å, c = 7.653 Å
α = 90.00°, β = 90.00°, γ = 90.00°
Fractional positions:
B 0.000 0.500 0.598
B 0.000 0.000 0.000
B 0.500 0.000 0.402
B 0.500 0.500 0.210
B 0.500 0.500 0.790
C 0.500 0.000 0.876
C 0.000 0.500 0.124
C 0.000 0.000 0.500

Summary:
space-group type: P-4m2, No. 115
energy relative to the elements: 0.329 eV per atom
magnetic moment: 0.0 μB/f.u.



10.
A relaxed Y2HoTl crystal, computed with PBE.

a = 3.552 Å, b = 3.552 Å, c = 12.183 Å
α = 81.62°, β = 81.62°, γ = 60.00°
Fractional positions:
Tl 0.000 0.000 0.000
Ho 0.500 0.500 0.500
Y 0.911 0.911 0.266
Y 0.089 0.089 0.734

Summary:
space-group type: R-3m, No. 166
energy relative to the elements: 0.079 eV per atom
magnetic moment: 0.0 μB/f.u.



11.
A relaxed TiTcPt2 crystal, computed with PBE.

a = 3.802 Å, b = 3.802 Å, c = 9.553 Å
α = 78.52°, β = 78.52°, γ = 90.00°
Fractional positions:
Pt 0.125 0.625 0.250
Pt 0.375 0.375 0.750
Pt 0.625 0.125 0.250
Pt 0.875 0.875 0.750
Tc 0.000 0.000 0.000
Tc 0.750 0.250 0.500
Ti 0.500 0.500 0.000
Ti 0.250 0.750 0.500

Summary:
space-group type: I-42d, No. 122
energy relative to the elements: -0.082 eV per atom
magnetic moment: 0.0 μB/f.u.



12.
A relaxed InFe2Ir crystal, computed with PBE.

a = 6.909 Å, b = 6.909 Å, c = 5.558 Å
α = 51.56°, β = 51.56°, γ = 90.00°
Fractional positions:
Ir 0.750 0.250 0.500
Ir 0.000 0.000 0.000
Fe 0.082 0.625 0.250
Fe 0.875 0.918 0.750
Fe 0.375 0.332 0.750
Fe 0.668 0.125 0.250
In 0.250 0.750 0.500
In 0.500 0.500 0.000

Summary:
space-group type: I-42d, No. 122
energy relative to the elements: 0.782 eV per atom
magnetic moment: 0.0 μB/f.u.